1.
Below is crystalline PrCd5Pd6 at its relaxed geometry, with properties calculated at the GGA-PBE level.

Summary:
The formation energy is -0.46 eV/atom. The total magnetization comes out at 0.0000 μB per atom. As for the space group: P2/m (10).

The structure in extended XYZ format:
```
12
Lattice="-3.7617 2.6758 1.2310 -2.7853 -5.2297 2.8563 4.3619 0.8184 5.7518" Properties=species:S:1:pos:R:3 pbc="T T T"
Pd -3.9253 -2.5008 2.7121
Pd -1.0260 1.4426 5.5712
Pd 0.1807 -0.6623 2.8939
Pd -2.3659 -1.0732 6.9452
Pd -1.1592 -3.1782 4.2680
Pd 1.7401 0.7652 7.1270
Cd -1.3927 -2.6149 1.4282
Cd -0.9685 2.0138 2.7427
Cd 0.2271 -1.1400 5.7081
Cd -1.2166 -3.7494 7.0964
Cd -2.4122 -0.5956 4.1310
Pr 0.0000 0.0000 0.0000
```

=====

2.
Below is crystalline PrCdPd3 at its relaxed geometry, with properties calculated at the GGA-PBE level.

Summary:
The formation energy is -0.47 eV/atom. The total magnetization comes out at 0.0000 μB per atom. As for the space group: Pnma (62).

The structure in extended XYZ format:
```
20
Lattice="8.0200 0.0000 0.0000 0.0000 7.0591 0.0000 0.0000 0.0000 7.6724" Properties=species:S:1:pos:R:3 pbc="T T T"
Pd 2.3358 2.1384 3.3405
Pd 1.9322 4.4350 1.9181
Pd 1.6742 5.6680 4.3318
Pd 6.3458 1.3911 0.4957
Pd 6.3458 1.3911 3.3405
Pd 2.0778 0.9054 5.7543
Pd 6.0878 2.6241 5.7543
Pd 5.6842 4.9207 7.1767
Pd 5.9422 6.1537 1.9181
Pd 2.3358 2.1384 0.4957
Pd 5.6842 4.9207 4.3318
Pd 1.6742 5.6680 7.1767
Pr 3.2915 3.6234 5.7543
Pr 7.3015 6.9653 5.7543
Pr 4.7285 3.4357 1.9181
Pr 0.7185 0.0938 1.9181
Cd 4.0100 0.0000 0.0000
Cd 0.0000 3.5296 3.8362
Cd 4.0100 0.0000 3.8362
Cd 0.0000 3.5296 0.0000
```

=====

3.
Below is crystalline PrCdPd4 at its relaxed geometry, with properties calculated at the GGA-PBE level.

Summary:
The formation energy is -0.46 eV/atom. The total magnetization comes out at 0.0000 μB per atom. As for the space group: Cmcm (63).

The structure in extended XYZ format:
```
12
Lattice="-0.7599 3.9634 2.0127 -0.5860 -2.6946 5.0848 9.4971 -1.0248 0.5514" Properties=species:S:1:pos:R:3 pbc="T T T"
Pd 2.9108 -0.2762 6.6951
Pd 0.4428 0.0933 5.0357
Pd 7.7084 0.1508 2.6133
Pd -0.2930 -1.3473 2.5424
Pd 3.1906 1.0103 4.2674
Pd 5.2404 0.5203 0.9539
Pd 0.0000 0.0000 0.0000
Pd 4.9606 -0.7661 3.3816
Pr 7.0975 -1.2298 5.1014
Pr 1.0537 1.4739 2.5476
Cd 2.3483 -1.7283 4.2900
Cd 5.8029 1.9724 3.3590
```

=====

4.
Below is crystalline PrCd2Pd4 at its relaxed geometry, with properties calculated at the GGA-PBE level.

Summary:
The formation energy is -0.55 eV/atom. The total magnetization comes out at 0.0000 μB per atom. As for the space group: I4/mmm (139).

The structure in extended XYZ format:
```
7
Lattice="5.6029 0.0000 0.0000 2.8015 4.9128 0.0000 2.8015 0.0000 4.9128" Properties=species:S:1:pos:R:3 pbc="T T T"
Pd 5.6029 0.0000 2.9648
Pd 5.6029 2.9648 0.0000
Pd 2.8015 1.9480 0.0000
Pd 2.8015 0.0000 1.9480
Pr 0.0000 0.0000 0.0000
Cd 7.0037 2.4564 2.4564
Cd 4.2022 2.4564 2.4564
```

=====

5.
Below is crystalline Pr3CdPd at its relaxed geometry, with properties calculated at the GGA-PBE level.

Summary:
The formation energy is -0.28 eV/atom. The total magnetization comes out at 0.0000 μB per atom. As for the space group: Cmmm (65).

The structure in extended XYZ format:
```
10
Lattice="-2.0499 -3.0576 -1.6642 -3.2785 -2.3571 8.3685 -8.0023 4.2749 2.0024" Properties=species:S:1:pos:R:3 pbc="T T T"
Cd -4.3784 -2.0439 0.6815
Cd -8.9934 0.4441 6.6995
Pr -1.4291 -0.8424 -0.2556
Pr -7.1179 0.1876 -0.0461
Pr -5.2784 -0.1876 3.2832
Pr -9.6414 -0.0022 3.4108
Pr -4.2533 -3.8299 3.8134
Pr -7.7799 -2.6117 5.9190
Pd -4.9915 -1.6920 5.6987
Pd -7.3553 1.6219 2.5143
```

=====

6.
Below is crystalline Pr7Cd2Pd2 at its relaxed geometry, with properties calculated at the GGA-PBE level.

Summary:
The formation energy is -0.24 eV/atom. The total magnetization comes out at 0.0000 μB per atom. As for the space group: Cmmm (65).

The structure in extended XYZ format:
```
11
Lattice="7.0168 -0.0031 -0.9226 0.0026 7.4838 0.0039 -1.3580 -0.0020 6.9457" Properties=species:S:1:pos:R:3 pbc="T T T"
Pr 3.5065 1.9493 -0.4585
Pr 2.8282 1.8827 3.0143
Pr -0.6751 5.5319 3.4733
Pr 2.1550 5.5293 6.4856
Pr 6.3366 1.9467 2.5538
Pr 2.8332 5.5959 3.0128
Pr 0.0000 0.0000 0.0000
Pd 4.5852 7.4808 1.3683
Pd 1.0762 -0.0022 4.6587
Cd 0.9610 3.7410 1.0234
Cd 4.7004 3.7376 5.0036
```

=====

7.
Below is crystalline Pr12Cd3Pd5 at its relaxed geometry, with properties calculated at the GGA-PBE level.

Summary:
The formation energy is -0.12 eV/atom. The total magnetization comes out at 0.0000 μB per atom. As for the space group: Ia-3d (230).

The structure in extended XYZ format:
```
80
Lattice="15.3636 0.0000 0.0000 -5.1212 14.4849 0.0000 -5.1212 -7.2424 12.5443" Properties=species:S:1:pos:R:3 pbc="T T T"
Pr -0.6341 0.9491 2.6845
Pr -0.6048 9.1072 1.0985
Pr 0.6341 9.0134 8.4363
Pr 7.0770 7.2614 2.1642
Pr 7.8145 12.9540 0.5202
Pr -1.9558 -0.0190 10.3801
Pr 1.9558 1.8648 11.4458
Pr 11.3486 3.3398 3.5877
Pr 10.8472 7.2235 2.1642
Pr 9.1362 -5.0583 10.9583
Pr -3.1947 8.1916 9.8598
Pr -4.0150 12.3008 1.5859
Pr 6.2274 -1.1557 7.3707
Pr -1.1062 8.3982 5.1736
Pr 3.6668 6.0867 5.1736
Pr 10.1097 1.5309 0.5202
Pr -1.9265 -0.8219 5.7519
Pr -4.9885 5.7115 12.0240
Pr 2.6933 -2.4052 7.3378
Pr 7.8145 3.9361 4.6862
Pr 3.1654 5.3777 1.0985
Pr 4.9885 2.4052 7.3378
Pr 9.6083 0.8219 5.7519
Pr 6.5756 2.1841 1.5859
Pr 4.4871 -1.7710 4.1079
Pr 5.7552 6.2933 9.8598
Pr 10.3750 -3.3063 7.8581
Pr 6.5756 11.1451 3.5877
Pr 3.1946 1.7710 4.1079
Pr 2.4279 9.6477 5.2064
Pr -1.4544 5.0584 10.9583
Pr -6.2274 3.9027 8.9566
Pr -2.6933 -5.7115 12.0240
Pr 5.7260 1.8837 11.4786
Pr -1.4544 -3.9026 8.9566
Pr 5.7260 -1.8648 11.4458
Pr 8.3158 -0.9491 2.6845
Pr -0.6048 5.3587 1.0657
Pr 1.9265 5.4715 8.4363
Pr -5.7260 0.0189 10.3801
Pr 0.1327 4.8372 5.2064
Pr 7.0477 8.0643 6.7924
Pr -2.6933 3.3063 7.8581
Pr -4.4871 6.4206 6.7924
Pr 1.4544 1.1557 7.3707
Pr 1.9558 -1.8837 11.4786
Pr -5.2538 10.5488 4.6862
Pr 3.1654 9.1262 1.0657
Cd 3.8409 8.1478 7.8402
Cd -6.4015 7.2424 9.4082
Cd 11.5227 0.0000 3.1361
Cd 1.2803 -0.9053 4.7041
Cd -3.8409 2.7159 10.9763
Cd 8.9621 4.5265 1.5680
Cd 3.8409 0.0000 9.4082
Cd 1.2803 7.2424 3.1361
Cd -3.8409 -2.7159 10.9763
Cd 8.9621 9.9584 1.5680
Cd 6.4015 0.9053 4.7041
Cd -1.2803 6.3371 7.8402
Pd 3.8409 10.8637 3.1361
Pd 5.1212 7.2424 0.0000
Pd 1.2803 4.5265 10.9763
Pd 7.6818 0.0000 0.0000
Pd 6.4015 6.3371 4.7041
Pd -2.5606 -3.6212 6.2721
Pd -1.2803 3.6212 3.1361
Pd -1.2803 11.7690 1.5680
Pd 6.4015 3.6212 9.4082
Pd 1.2803 -3.6212 9.4082
Pd -1.2803 0.9053 7.8402
Pd 3.8409 2.7159 1.5680
Pd 5.1212 -3.6212 6.2721
Pd 0.0000 0.0000 0.0000
Pd -2.5606 7.2424 0.0000
Pd 8.9621 -0.9053 7.8402
Pd 2.5606 3.6212 6.2721
Pd -3.8409 8.1478 4.7041
Pd -5.1212 3.6212 6.2721
Pd 6.4015 -4.5265 10.9763
```

=====

8.
Below is crystalline PrCd2Pd9 at its relaxed geometry, with properties calculated at the GGA-PBE level.

Summary:
As for the distance to the lowest polymorph of the same formula: 51 meV per atom. The formation energy is -0.34 eV/atom. The total magnetization comes out at 0.0000 μB per atom. As for the space group: R-3m (166).

The structure in extended XYZ format:
```
12
Lattice="5.3623 0.0000 0.0000 2.6812 4.6439 0.0000 2.6812 1.5480 8.7590" Properties=species:S:1:pos:R:3 pbc="T T T"
Pd 4.0050 2.3123 2.2620
Pd 5.3623 3.0960 4.3795
Pd 5.3623 4.6632 2.2620
Pd 5.3623 3.0960 0.0095
Pd 5.3623 1.5287 6.4970
Pd 4.0050 3.8796 6.4970
Pd 6.7197 3.8796 6.4970
Pd 5.3623 3.0959 8.7496
Pd 6.7197 2.3123 2.2620
Cd 2.6812 1.5480 4.9634
Cd 8.0435 4.6439 3.7956
Pr 0.0000 0.0000 0.0000
```

=====

9.
Below is crystalline PrCd3Pd at its relaxed geometry, with properties calculated at the GGA-PBE level.

Summary:
As for the distance to the lowest polymorph of the same formula: 0 meV per atom. The formation energy is -0.43 eV/atom. The total magnetization comes out at 0.0000 μB per atom. As for the space group: P2_1/m (11).

The structure in extended XYZ format:
```
10
Lattice="-0.8262 -3.9354 5.6793 5.3435 1.6460 1.9180 -2.3305 4.2581 2.8383" Properties=species:S:1:pos:R:3 pbc="T T T"
Cd -0.3709 1.3928 4.3924
Cd 2.7238 2.5925 8.3068
Cd 2.5577 0.5759 6.0432
Cd 2.0776 0.1817 3.0673
Cd -0.5370 -0.6237 2.1289
Cd 0.1092 1.7871 7.3683
Pd 2.8450 -1.8698 7.3417
Pd -0.6582 3.8386 3.0939
Pr 2.3876 3.4578 4.0437
Pr -0.2008 -1.4891 6.3919
```

=====

10.
Below is crystalline Pr3Cd2Pd4 at its relaxed geometry, with properties calculated at the GGA-PBE level.

Summary:
The formation energy is -0.65 eV/atom. The total magnetization comes out at 0.0000 μB per atom. As for the space group: C2/m (12).

The structure in extended XYZ format:
```
9
Lattice="-3.1154 -0.9224 3.1419 4.9899 -2.2538 1.0352 2.0744 7.8531 4.3623" Properties=species:S:1:pos:R:3 pbc="T T T"
Cd 1.2641 4.7183 5.8894
Cd 2.6849 -0.0413 2.6500
Pr 3.8295 2.8192 4.6248
Pr 0.0000 0.0000 0.0000
Pr 0.1194 1.8577 3.9146
Pd 0.0656 -0.9409 3.0397
Pd 3.8834 5.6178 5.4997
Pd 1.8398 4.5023 3.1460
Pd 2.1091 0.1746 5.3934
```

=====

11.
Below is crystalline PrCd12Pd6 at its relaxed geometry, with properties calculated at the GGA-PBE level.

Summary:
The formation energy is -0.23 eV/atom. The total magnetization comes out at 0.0000 μB per atom. As for the space group: R-3m (166).

The structure in extended XYZ format:
```
19
Lattice="7.8086 -0.0995 -0.1402 -2.0321 7.5402 -0.1402 -2.0321 -2.6175 7.0727" Properties=species:S:1:pos:R:3 pbc="T T T"
Pd -0.5872 3.5103 4.9435
Pd 3.5463 0.3013 4.9435
Pd 0.1981 0.2552 4.8786
Pd 0.1981 4.5219 1.8488
Pd 3.5463 4.5680 1.9138
Pd 4.3316 1.3128 1.8488
Pr 0.0000 0.0000 0.0000
Cd 1.9804 -0.0137 2.6971
Cd 1.7641 2.2723 5.9164
Cd 5.6542 -0.5246 3.3962
Cd 4.2486 2.9080 4.0953
Cd -1.9098 5.3477 3.3962
Cd -0.5042 1.9152 2.6971
Cd 1.8722 -1.4923 6.1683
Cd -1.9098 1.4439 6.1683
Cd 1.8722 6.3154 0.6241
Cd 1.7641 4.8369 4.0953
Cd 5.6542 3.3793 0.6241
Cd 1.9804 2.5509 0.8760
```

=====

12.
Below is crystalline Pr2Cd5Pd at its relaxed geometry, with properties calculated at the GGA-PBE level.

Summary:
The formation energy is -0.33 eV/atom. The total magnetization comes out at 0.0000 μB per atom. As for the space group: Cmcm (63).

The structure in extended XYZ format:
```
16
Lattice="-1.7236 3.8770 0.8970 -3.1352 -1.7888 -8.7755 -8.2028 -4.5390 3.8558" Properties=species:S:1:pos:R:3 pbc="T T T"
Cd -6.4459 0.2346 -2.9172
Cd -7.2190 -2.2683 -4.0677
Cd -2.1323 1.8705 -1.6990
Cd -4.0714 1.5485 -4.0333
Cd -5.2541 -1.0148 -5.7098
Cd -7.8075 -1.4360 1.6872
Cd -6.6157 -2.6855 -1.1054
Cd -10.9293 -4.3214 -2.3236
Cd -8.9902 -3.9994 0.0107
Cd -5.8426 -0.1826 0.0451
Pr 0.0000 0.0000 0.0000
Pr -9.6274 -1.3679 -2.1042
Pr -4.1014 -2.2695 1.9279
Pr -3.4343 -1.0829 -1.9184
Pd -9.7536 -3.2694 -4.6111
Pd -3.3081 0.8185 0.5885
```

=====

13.
Below is crystalline PrCd2Pd at its relaxed geometry, with properties calculated at the GGA-PBE level.

Summary:
The formation energy is 0.04 eV/atom. The total magnetization comes out at 0.0000 μB per atom. As for the space group: R-3m (166).

The structure in extended XYZ format:
```
4
Lattice="-2.0831 2.4653 -0.5153 -0.9787 0.7047 -3.0377 -9.2079 -5.6346 -0.0989" Properties=species:S:1:pos:R:3 pbc="T T T"
Pd -6.1348 -1.2323 -1.8259
Pr 0.0000 0.0000 0.0000
Cd -6.7166 -3.5985 -0.4292
Cd -5.5531 1.1338 -3.2227
```

=====

14.
Below is crystalline Pr6Cd2Pd at its relaxed geometry, with properties calculated at the GGA-PBE level.

Summary:
The formation energy is -0.21 eV/atom. The total magnetization comes out at 0.0000 μB per atom. As for the space group: P2_1/c (14).

The structure in extended XYZ format:
```
18
Lattice="-4.9855 -2.0372 3.4849 0.6330 -8.6433 -4.1470 4.6659 -3.2007 7.3832" Properties=species:S:1:pos:R:3 pbc="T T T"
Pr -1.6244 -9.3780 4.2137
Pr 3.1283 -3.0381 6.0584
Pr -2.8148 -10.8431 0.6628
Pr -0.0471 -3.0922 -0.6009
Pr 0.6042 -9.3148 1.3387
Pr -1.4236 -6.1945 2.3156
Pr 1.9378 -4.5032 2.5075
Pr -0.2907 -4.5664 5.3824
Pr 1.7371 -7.6867 4.4055
Pr -1.3730 -8.0090 -1.8202
Pr 0.3606 -10.7890 7.3220
Pr 1.6865 -5.8722 8.5413
Pd -2.1762 -5.3402 -0.3311
Pd 2.3330 -1.6003 3.6916
Cd 0.7181 -6.1886 -0.3166
Cd -0.4046 -7.6926 7.0378
Cd 0.7499 -11.4240 3.8620
Cd -0.4365 -2.4571 2.8591
```

=====

15.
Below is crystalline PrCd5Pd2 at its relaxed geometry, with properties calculated at the GGA-PBE level.

Summary:
The formation energy is -0.37 eV/atom. The total magnetization comes out at 0.0000 μB per atom. As for the space group: Immm (71).

The structure in extended XYZ format:
```
8
Lattice="-4.0628 -0.3290 -0.0368 -1.8636 -2.9160 6.0591 -2.5102 5.3278 3.7420" Properties=species:S:1:pos:R:3 pbc="T T T"
Pd -2.1011 0.4496 2.1860
Pd -6.3356 1.6332 7.5784
Cd -4.0485 -0.9389 3.8327
Cd -4.2940 2.1919 2.9528
Cd -4.1426 -0.1090 6.8116
Cd -2.1869 1.2059 4.9006
Cd -4.3882 3.0218 5.9316
Pr 0.0000 0.0000 0.0000
```

=====

16.
Below is crystalline Pr2CdPd at its relaxed geometry, with properties calculated at the GGA-PBE level.

Summary:
As for the distance to the lowest polymorph of the same formula: 55 meV per atom. The formation energy is -0.45 eV/atom. The total magnetization comes out at 0.0000 μB per atom. As for the space group: Fm-3m (225).

The structure in extended XYZ format:
```
4
Lattice="5.3272 0.0000 0.0000 2.6636 4.6135 0.0000 2.6636 1.5378 4.3497" Properties=species:S:1:pos:R:3 pbc="T T T"
Pr 2.6636 1.5378 1.0874
Pr 7.9909 4.6135 3.2623
Pd 0.0000 0.0000 0.0000
Cd 5.3272 3.0757 2.1748
```

=====

17.
Below is crystalline PrCd2Pd5 at its relaxed geometry, with properties calculated at the GGA-PBE level.

Summary:
As for the distance to the lowest polymorph of the same formula: 0 meV per atom. The formation energy is -0.54 eV/atom. The total magnetization comes out at 0.0000 μB per atom. As for the space group: C2/m (12).

The structure in extended XYZ format:
```
8
Lattice="3.9960 -0.0017 -1.5005 -0.5635 3.9560 -1.5005 0.8879 1.0229 8.4579" Properties=species:S:1:pos:R:3 pbc="T T T"
Pd 3.9177 2.2106 4.3784
Pd 1.7162 1.9772 -1.5005
Pd 1.6378 4.1896 4.3784
Pd 2.6825 0.7875 1.0785
Pd 0.4026 2.7666 1.0785
Pr 0.0000 0.0000 0.0000
Cd 3.0053 3.4622 1.9411
Cd 1.3150 1.5150 3.5157
```

=====

18.
Below is crystalline PrCd2Pd9 at its relaxed geometry, with properties calculated at the GGA-PBE level.

Summary:
As for the distance to the lowest polymorph of the same formula: 0 meV per atom. The formation energy is -0.39 eV/atom. The total magnetization comes out at 0.0000 μB per atom. As for the space group: P4/mmm (123).

The structure in extended XYZ format:
```
12
Lattice="-0.1680 4.1124 0.1098 -3.8487 -0.1960 1.4496 4.3005 -0.1288 11.4003" Properties=species:S:1:pos:R:3 pbc="T T T"
Pd 0.6801 2.0333 2.0805
Pd 0.2259 -0.1624 6.4249
Pd 2.0662 1.9918 5.7551
Pd 3.4524 1.9503 9.4296
Pd -2.0083 1.9582 0.7797
Pd -1.1602 -0.1209 2.7504
Pd 0.8396 1.8729 8.3294
Pd -0.5558 1.9147 4.6303
Pd 1.6121 -0.2039 10.0995
Pr 0.0000 0.0000 0.0000
Cd 1.4629 -0.0438 3.8781
Cd 2.8376 -0.0850 7.5222
```